! LuVO3 (PBE with a Hubbard U, relaxed); values from VASP
&SYSTEM
  ibrav = 0, nat = 20, ntyp = 3
/
ATOMIC_SPECIES
Lu 174.97 Lu.upf
V 50.94 V.upf
O 16.00 O.upf
CELL_PARAMETERS angstrom
5.2408 0.0000 0.0000
0.0000 5.6698 0.0000
0.0000 0.0000 7.5842
ATOMIC_POSITIONS angstrom
Lu 0.1166 5.2604 5.6882
Lu 2.5038 2.4255 5.6882
Lu 2.7370 3.2443 1.8961
Lu 5.1242 0.4094 1.8961
V 0.0000 2.8349 3.7921
V 0.0000 2.8349 0.0000
V 2.6204 0.0000 3.7921
V 2.6204 0.0000 0.0000
O 0.6870 2.5177 1.8961
O 0.9961 1.0514 7.0905
O 0.9961 1.0514 4.2859
O 1.6242 3.8863 7.0905
O 1.6242 3.8863 4.2859
O 1.9334 5.3526 1.8961
O 3.3074 0.3172 5.6882
O 3.6165 1.7835 3.2984
O 3.6165 1.7835 0.4937
O 4.2446 4.6184 3.2984
O 4.2446 4.6184 0.4937
O 4.5538 3.1521 5.6882
! * volume: 225.36 Å³ per cell
! * N(E_F): 0.0 states/eV/f.u.
! * ρ: 8.07 g/cm³
! * crystal system: orthorhombic
! * final energy: -8.256 eV per atom